The following is a meta-GGA SCAN calculation of a crystal of Al2HgRu relaxed with PBEsol, from the Alexandria database.

a b c (Å): 3.806 3.808 5.007
angles (deg): 112.35 112.34 90.00
Fractional coordinates of all 4 atoms:
Hg: 0.500 0.500 0.000
Al: 0.750 0.250 0.500
Ru: 0.250 0.750 0.500
Al: 0.000 0.000 0.000

DOS at the Fermi energy = 1.57 states/eV per cell
ρ = 9651 kg/m³
DFT total energy = -29.88 eV per atom
ΔH_f (0 K) = -251 meV per atom
Space group = I-4m2 (119)